Entry from OQMD: TaFeCoBi after structural relaxation (GGA-PBE).

Structure (CIF):
```
data_TaFeCoBi
_symmetry_space_group_name_H-M 'F -4 3 m'
_symmetry_Int_Tables_number 216
_symmetry_space_group_name_Hall 'F -4 2 3'
_cell_length_a 6.417
_cell_length_b 6.417
_cell_length_c 6.417
_cell_angle_alpha 90.00
_cell_angle_beta 90.00
_cell_angle_gamma 90.00
loop_
_atom_site_label
_atom_site_type_symbol
_atom_site_fract_x
_atom_site_fract_y
_atom_site_fract_z
_atom_site_occupancy
Ta1 Ta 0.000 0.000 0.000 1
Fe1 Fe 0.250 0.250 0.750 1
Co1 Co 0.000 0.000 0.500 1
Bi1 Bi 0.250 0.250 0.250 1
```

Output
Relative energy among the computed polymorphs ... 0.96 eV/f.u.
Magnetization ... 11.3 μB/cell

***

Entry from OQMD: TaFeCoBi after structural relaxation (GGA-PBE).

Structure (CIF):
```
data_TaFeCoBi
_symmetry_space_group_name_H-M 'F -4 3 m'
_symmetry_Int_Tables_number 216
_symmetry_space_group_name_Hall 'F -4 2 3'
_cell_length_a 6.302
_cell_length_b 6.302
_cell_length_c 6.302
_cell_angle_alpha 90.00
_cell_angle_beta 90.00
_cell_angle_gamma 90.00
loop_
_atom_site_label
_atom_site_type_symbol
_atom_site_fract_x
_atom_site_fract_y
_atom_site_fract_z
_atom_site_occupancy
Ta1 Ta 0.000 0.000 0.000 1
Fe1 Fe 0.250 0.250 0.250 1
Co1 Co 0.250 0.250 0.750 1
Bi1 Bi 0.000 0.000 0.500 1
```

Output
Relative energy among the computed polymorphs ... 0.00 eV/f.u.
Magnetization ... 8.9 μB/cell

***

Entry from OQMD: FeCoTcBi after structural relaxation (GGA-PBE).

Structure (CIF):
```
data_FeCoTcBi
_symmetry_space_group_name_H-M 'F -4 3 m'
_symmetry_Int_Tables_number 216
_symmetry_space_group_name_Hall 'F -4 2 3'
_cell_length_a 6.275
_cell_length_b 6.275
_cell_length_c 6.275
_cell_angle_alpha 90.00
_cell_angle_beta 90.00
_cell_angle_gamma 90.00
loop_
_atom_site_label
_atom_site_type_symbol
_atom_site_fract_x
_atom_site_fract_y
_atom_site_fract_z
_atom_site_occupancy
Fe1 Fe 0.000 0.000 0.000 1
Co1 Co 0.250 0.250 0.750 1
Tc1 Tc 0.250 0.250 0.250 1
Bi1 Bi 0.000 0.000 0.500 1
```

Output
Relative energy among the computed polymorphs ... 0.00 eV/f.u.
Magnetization ... 19.0 μB/cell

***

Entry from OQMD: FeCoBiW after structural relaxation (GGA-PBE).

Structure (CIF):
```
data_FeCoBiW
_symmetry_space_group_name_H-M 'F -4 3 m'
_symmetry_Int_Tables_number 216
_symmetry_space_group_name_Hall 'F -4 2 3'
_cell_length_a 6.333
_cell_length_b 6.333
_cell_length_c 6.333
_cell_angle_alpha 90.00
_cell_angle_beta 90.00
_cell_angle_gamma 90.00
loop_
_atom_site_label
_atom_site_type_symbol
_atom_site_fract_x
_atom_site_fract_y
_atom_site_fract_z
_atom_site_occupancy
Fe1 Fe 0.000 0.000 0.000 1
Co1 Co 0.250 0.250 0.750 1
Bi1 Bi 0.000 0.000 0.500 1
W1 W 0.250 0.250 0.250 1
```

Output
Relative energy among the computed polymorphs ... 0.32 eV/f.u.
Magnetization ... 14.3 μB/cell

***

Entry from OQMD: FeCoBiW after structural relaxation (GGA-PBE).

Structure (CIF):
```
data_FeCoBiW
_symmetry_space_group_name_H-M 'F -4 3 m'
_symmetry_Int_Tables_number 216
_symmetry_space_group_name_Hall 'F -4 2 3'
_cell_length_a 6.266
_cell_length_b 6.266
_cell_length_c 6.266
_cell_angle_alpha 90.00
_cell_angle_beta 90.00
_cell_angle_gamma 90.00
loop_
_atom_site_label
_atom_site_type_symbol
_atom_site_fract_x
_atom_site_fract_y
_atom_site_fract_z
_atom_site_occupancy
Fe1 Fe 0.000 0.000 0.000 1
Co1 Co 0.000 0.000 0.500 1
Bi1 Bi 0.250 0.250 0.250 1
W1 W 0.250 0.250 0.750 1
```

Output
Relative energy among the computed polymorphs ... 0.00 eV/f.u.
Magnetization ... 14.3 μB/cell

***

Entry from OQMD: YFeCoBi after structural relaxation (GGA-PBE).

Structure (CIF):
```
data_YFeCoBi
_symmetry_space_group_name_H-M 'F -4 3 m'
_symmetry_Int_Tables_number 216
_symmetry_space_group_name_Hall 'F -4 2 3'
_cell_length_a 6.776
_cell_length_b 6.776
_cell_length_c 6.776
_cell_angle_alpha 90.00
_cell_angle_beta 90.00
_cell_angle_gamma 90.00
loop_
_atom_site_label
_atom_site_type_symbol
_atom_site_fract_x
_atom_site_fract_y
_atom_site_fract_z
_atom_site_occupancy
Y1 Y 0.000 0.000 0.000 1
Fe1 Fe 0.000 0.000 0.500 1
Co1 Co 0.250 0.250 0.750 1
Bi1 Bi 0.250 0.250 0.250 1
```

Output
Relative energy among the computed polymorphs ... 0.77 eV/f.u.
Magnetization ... 15.8 μB/cell

***

Entry from OQMD: YFeCoBi after structural relaxation (GGA-PBE).

Structure (CIF):
```
data_YFeCoBi
_symmetry_space_group_name_H-M 'F -4 3 m'
_symmetry_Int_Tables_number 216
_symmetry_space_group_name_Hall 'F -4 2 3'
_cell_length_a 6.768
_cell_length_b 6.768
_cell_length_c 6.768
_cell_angle_alpha 90.00
_cell_angle_beta 90.00
_cell_angle_gamma 90.00
loop_
_atom_site_label
_atom_site_type_symbol
_atom_site_fract_x
_atom_site_fract_y
_atom_site_fract_z
_atom_site_occupancy
Y1 Y 0.000 0.000 0.000 1
Fe1 Fe 0.250 0.250 0.750 1
Co1 Co 0.000 0.000 0.500 1
Bi1 Bi 0.250 0.250 0.250 1
```

Output
Relative energy among the computed polymorphs ... 0.80 eV/f.u.
Magnetization ... 15.2 μB/cell

***

Entry from OQMD: YFeCoBi after structural relaxation (GGA-PBE).

Structure (CIF):
```
data_YFeCoBi
_symmetry_space_group_name_H-M 'F -4 3 m'
_symmetry_Int_Tables_number 216
_symmetry_space_group_name_Hall 'F -4 2 3'
_cell_length_a 6.623
_cell_length_b 6.623
_cell_length_c 6.623
_cell_angle_alpha 90.00
_cell_angle_beta 90.00
_cell_angle_gamma 90.00
loop_
_atom_site_label
_atom_site_type_symbol
_atom_site_fract_x
_atom_site_fract_y
_atom_site_fract_z
_atom_site_occupancy
Y1 Y 0.000 0.000 0.000 1
Fe1 Fe 0.250 0.250 0.250 1
Co1 Co 0.250 0.250 0.750 1
Bi1 Bi 0.000 0.000 0.500 1
```

Output
Relative energy among the computed polymorphs ... 0.00 eV/f.u.
Magnetization ... 11.1 μB/cell

***

Entry from OQMD: ZnFeCoBi after structural relaxation (GGA-PBE).

Structure (CIF):
```
data_ZnFeCoBi
_symmetry_space_group_name_H-M 'F -4 3 m'
_symmetry_Int_Tables_number 216
_symmetry_space_group_name_Hall 'F -4 2 3'
_cell_length_a 6.220
_cell_length_b 6.220
_cell_length_c 6.220
_cell_angle_alpha 90.00
_cell_angle_beta 90.00
_cell_angle_gamma 90.00
loop_
_atom_site_label
_atom_site_type_symbol
_atom_site_fract_x
_atom_site_fract_y
_atom_site_fract_z
_atom_site_occupancy
Zn1 Zn 0.000 0.000 0.000 1
Fe1 Fe 0.250 0.250 0.750 1
Co1 Co 0.250 0.250 0.250 1
Bi1 Bi 0.000 0.000 0.500 1
```

Output
Relative energy among the computed polymorphs ... 0.00 eV/f.u.
Magnetization ... 6.9 μB/cell

***

Entry from OQMD: GaCoBi after structural relaxation (GGA-PBE).

Structure (CIF):
```
data_GaCoBi
_symmetry_space_group_name_H-M 'F -4 3 m'
_symmetry_Int_Tables_number 216
_symmetry_space_group_name_Hall 'F -4 2 3'
_cell_length_a 6.134
_cell_length_b 6.134
_cell_length_c 6.134
_cell_angle_alpha 90.00
_cell_angle_beta 90.00
_cell_angle_gamma 90.00
loop_
_atom_site_label
_atom_site_type_symbol
_atom_site_fract_x
_atom_site_fract_y
_atom_site_fract_z
_atom_site_occupancy
Ga1 Ga 0.000 0.000 0.000 1
Co1 Co 0.250 0.250 0.750 1
Bi1 Bi 0.000 0.000 0.500 1
```

Output
E ... -0.171 Ha/atom
Magnetization ... 0.0 μB/cell

***

Entry from OQMD: GaCoBi2 after structural relaxation (GGA-PBE).

Structure (CIF):
```
data_GaCoBi2
_symmetry_space_group_name_H-M 'F -4 3 m'
_symmetry_Int_Tables_number 216
_symmetry_space_group_name_Hall 'F -4 2 3'
_cell_length_a 7.153
_cell_length_b 7.153
_cell_length_c 7.153
_cell_angle_alpha 90.00
_cell_angle_beta 90.00
_cell_angle_gamma 90.00
loop_
_atom_site_label
_atom_site_type_symbol
_atom_site_fract_x
_atom_site_fract_y
_atom_site_fract_z
_atom_site_occupancy
Ga1 Ga 0.000 0.000 0.000 1
Co1 Co 0.250 0.250 0.250 1
Bi1 Bi 0.000 0.000 0.500 1
Bi2 Bi 0.250 0.250 0.750 1
```

Output
E ... -0.146 Ha/atom
Magnetization ... 4.9 μB/cell

***

Entry from OQMD: Ga2CoBi after structural relaxation (GGA-PBE).

Structure (CIF):
```
data_Ga2CoBi
_symmetry_space_group_name_H-M 'F -4 3 m'
_symmetry_Int_Tables_number 216
_symmetry_space_group_name_Hall 'F -4 2 3'
_cell_length_a 6.689
_cell_length_b 6.689
_cell_length_c 6.689
_cell_angle_alpha 90.00
_cell_angle_beta 90.00
_cell_angle_gamma 90.00
loop_
_atom_site_label
_atom_site_type_symbol
_atom_site_fract_x
_atom_site_fract_y
_atom_site_fract_z
_atom_site_occupancy
Ga1 Ga 0.000 0.000 0.000 1
Ga2 Ga 0.250 0.250 0.250 1
Co1 Co 0.250 0.250 0.750 1
Bi1 Bi 0.000 0.000 0.500 1
```

Output
E ... -0.144 Ha/atom
Magnetization ... 0.9 μB/cell

***

Entry from OQMD: LiGaCoBi after structural relaxation (GGA-PBE).

Structure (CIF):
```
data_LiGaCoBi
_symmetry_space_group_name_H-M 'F -4 3 m'
_symmetry_Int_Tables_number 216
_symmetry_space_group_name_Hall 'F -4 2 3'
_cell_length_a 6.384
_cell_length_b 6.384
_cell_length_c 6.384
_cell_angle_alpha 90.00
_cell_angle_beta 90.00
_cell_angle_gamma 90.00
loop_
_atom_site_label
_atom_site_type_symbol
_atom_site_fract_x
_atom_site_fract_y
_atom_site_fract_z
_atom_site_occupancy
Li1 Li 0.000 0.000 0.000 1
Ga1 Ga 0.250 0.250 0.750 1
Co1 Co 0.000 0.000 0.500 1
Bi1 Bi 0.250 0.250 0.250 1
```

Output
Relative energy among the computed polymorphs ... 0.00 eV/f.u.
Magnetization ... 0.2 μB/cell

***

Entry from OQMD: LiGaCoBi after structural relaxation (GGA-PBE).

Structure (CIF):
```
data_LiGaCoBi
_symmetry_space_group_name_H-M 'F -4 3 m'
_symmetry_Int_Tables_number 216
_symmetry_space_group_name_Hall 'F -4 2 3'
_cell_length_a 6.623
_cell_length_b 6.623
_cell_length_c 6.623
_cell_angle_alpha 90.00
_cell_angle_beta 90.00
_cell_angle_gamma 90.00
loop_
_atom_site_label
_atom_site_type_symbol
_atom_site_fract_x
_atom_site_fract_y
_atom_site_fract_z
_atom_site_occupancy
Li1 Li 0.000 0.000 0.000 1
Ga1 Ga 0.000 0.000 0.500 1
Co1 Co 0.250 0.250 0.250 1
Bi1 Bi 0.250 0.250 0.750 1
```

Output
Relative energy among the computed polymorphs ... 1.14 eV/f.u.
Magnetization ... 5.7 μB/cell

***

Entry from OQMD: NaGaCoBi after structural relaxation (GGA-PBE).

Structure (CIF):
```
data_NaGaCoBi
_symmetry_space_group_name_H-M 'F -4 3 m'
_symmetry_Int_Tables_number 216
_symmetry_space_group_name_Hall 'F -4 2 3'
_cell_length_a 6.968
_cell_length_b 6.968
_cell_length_c 6.968
_cell_angle_alpha 90.00
_cell_angle_beta 90.00
_cell_angle_gamma 90.00
loop_
_atom_site_label
_atom_site_type_symbol
_atom_site_fract_x
_atom_site_fract_y
_atom_site_fract_z
_atom_site_occupancy
Na1 Na 0.000 0.000 0.000 1
Ga1 Ga 0.250 0.250 0.750 1
Co1 Co 0.250 0.250 0.250 1
Bi1 Bi 0.000 0.000 0.500 1
```

Output
Relative energy among the computed polymorphs ... 0.67 eV/f.u.
Magnetization ... 6.8 μB/cell

***

Entry from OQMD: NaGaCoBi after structural relaxation (GGA-PBE).

Structure (CIF):
```
data_NaGaCoBi
_symmetry_space_group_name_H-M 'F -4 3 m'
_symmetry_Int_Tables_number 216
_symmetry_space_group_name_Hall 'F -4 2 3'
_cell_length_a 6.664
_cell_length_b 6.664
_cell_length_c 6.664
_cell_angle_alpha 90.00
_cell_angle_beta 90.00
_cell_angle_gamma 90.00
loop_
_atom_site_label
_atom_site_type_symbol
_atom_site_fract_x
_atom_site_fract_y
_atom_site_fract_z
_atom_site_occupancy
Na1 Na 0.000 0.000 0.000 1
Ga1 Ga 0.250 0.250 0.750 1
Co1 Co 0.000 0.000 0.500 1
Bi1 Bi 0.250 0.250 0.250 1
```

Output
Relative energy among the computed polymorphs ... 0.00 eV/f.u.
Magnetization ... 1.2 μB/cell

***

Entry from OQMD: CoGeBi after structural relaxation (GGA-PBE).

Structure (CIF):
```
data_CoGeBi
_symmetry_space_group_name_H-M 'F -4 3 m'
_symmetry_Int_Tables_number 216
_symmetry_space_group_name_Hall 'F -4 2 3'
_cell_length_a 6.151
_cell_length_b 6.151
_cell_length_c 6.151
_cell_angle_alpha 90.00
_cell_angle_beta 90.00
_cell_angle_gamma 90.00
loop_
_atom_site_label
_atom_site_type_symbol
_atom_site_fract_x
_atom_site_fract_y
_atom_site_fract_z
_atom_site_occupancy
Co1 Co 0.000 0.000 0.000 1
Ge1 Ge 0.250 0.250 0.250 1
Bi1 Bi 0.250 0.250 0.750 1
```

Output
E ... -0.187 Ha/atom
Magnetization ... 0.0 μB/cell